Record 1
DFT (GGA-PBEsol) results for a relaxed Cu2HgGeS4 crystal.

Computed properties:
space-group type	No. 121
total magnetization	0.000	μB/atom
ΔE_f (raw)	-0.321	eV/atom
uncorrected energy	-4.285	eV per atom
excess energy over the best structure of this formula in the dataset	0	meV per atom

a = 5.458 Å, b = 5.458 Å, c = 10.445 Å
α = 90.00°, β = 90.00°, γ = 90.00°
Fractional positions:
1 Cu 0.000 0.500 0.250
2 Cu 0.000 0.500 0.750
3 Cu 0.500 0.000 0.250
4 Cu 0.500 0.000 0.750
5 Hg 0.000 0.000 0.000
6 Hg 0.500 0.500 0.500
7 Ge 0.000 0.000 0.500
8 Ge 0.500 0.500 0.000
9 S 0.227 0.227 0.363
10 S 0.227 0.773 0.637
11 S 0.273 0.273 0.863
12 S 0.273 0.727 0.137
13 S 0.727 0.273 0.137
14 S 0.727 0.727 0.863
15 S 0.773 0.227 0.637
16 S 0.773 0.773 0.363


Record 2
DFT (GGA-PBEsol) results for a relaxed Cu2HgGeS4 crystal.

Computed properties:
space-group type	No. 31
total magnetization	0.000	μB/atom
ΔE_f (raw)	-0.319	eV/atom
uncorrected energy	-4.283	eV per atom
excess energy over the best structure of this formula in the dataset	2	meV per atom

a = 7.644 Å, b = 6.496 Å, c = 6.263 Å
α = 90.00°, β = 90.00°, γ = 90.00°
Fractional positions:
1 Cu 0.249 0.170 0.000
2 Cu 0.251 0.830 0.500
3 Cu 0.749 0.830 0.500
4 Cu 0.751 0.170 0.000
5 Hg 0.000 0.347 0.495
6 Hg 0.500 0.653 0.995
7 Ge 0.000 0.677 0.004
8 Ge 0.500 0.323 0.504
9 S 0.000 0.339 0.091
10 S 0.000 0.711 0.645
11 S 0.232 0.846 0.139
12 S 0.268 0.154 0.639
13 S 0.500 0.289 0.145
14 S 0.500 0.661 0.591
15 S 0.732 0.154 0.639
16 S 0.768 0.846 0.139


Record 3
DFT (GGA-PBEsol) results for a relaxed CuHgGe2Sb crystal.

Computed properties:
space-group type	No. 123
total magnetization	0.000	μB/atom
ΔE_f (raw)	1.188	eV/atom
uncorrected energy	-2.679	eV per atom

a = 5.014 Å, b = 5.014 Å, c = 5.580 Å
α = 90.00°, β = 90.00°, γ = 90.00°
Fractional positions:
1 Cu 0.000 0.000 0.000
2 Hg 0.500 0.500 0.500
3 Ge 0.000 0.500 0.500
4 Ge 0.500 0.000 0.500
5 Sb 0.500 0.500 0.000


Record 4
DFT (GGA-PBEsol) results for a relaxed Ho3Cu4Ge4 crystal.

Computed properties:
space-group type	No. 71
total magnetization	0.000	μB/atom
uncorrected energy	-5.406	eV per atom

a = 7.849 Å, b = 7.849 Å, c = 7.849 Å
α = 149.53°, β = 130.81°, γ = 58.97°
Fractional positions:
1 Ho 0.000 0.000 0.000
2 Ho 0.370 0.870 0.500
3 Ho 0.630 0.130 0.500
4 Cu 0.021 0.331 0.690
5 Cu 0.360 0.669 0.690
6 Cu 0.640 0.331 0.310
7 Cu 0.979 0.669 0.310
8 Ge 0.217 0.217 0.000
9 Ge 0.308 0.500 0.808
10 Ge 0.692 0.500 0.192
11 Ge 0.783 0.783 0.000


Record 5
DFT (GGA-PBEsol) results for a relaxed HoCu2Ge2 crystal.

Computed properties:
space-group type	No. 139
total magnetization	0.000	μB/atom
uncorrected energy	-5.241	eV per atom

a = 3.971 Å, b = 3.971 Å, c = 10.205 Å
α = 90.00°, β = 90.00°, γ = 90.00°
Fractional positions:
1 Ho 0.000 0.000 0.000
2 Ho 0.500 0.500 0.500
3 Cu 0.000 0.500 0.250
4 Cu 0.000 0.500 0.750
5 Cu 0.500 0.000 0.250
6 Cu 0.500 0.000 0.750
7 Ge 0.000 0.000 0.381
8 Ge 0.000 0.000 0.619
9 Ge 0.500 0.500 0.119
10 Ge 0.500 0.500 0.881


Record 6
DFT (GGA-PBEsol) results for a relaxed Ho2CuGe4O12 crystal.

Computed properties:
space-group type	No. 2
total magnetization	0.053	μB/atom
ΔE_f (raw)	-2.112	eV/atom
uncorrected energy	-7.216	eV per atom

a = 4.920 Å, b = 7.135 Å, c = 7.824 Å
α = 66.81°, β = 87.57°, γ = 77.73°
Fractional positions:
1 Ho 0.050 0.268 0.454
2 Ho 0.950 0.732 0.546
3 Cu 0.000 0.500 0.000
4 Ge 0.419 0.880 0.794
5 Ge 0.463 0.663 0.225
6 Ge 0.537 0.337 0.775
7 Ge 0.581 0.120 0.206
8 O 0.219 0.923 0.599
9 O 0.227 0.564 0.392
10 O 0.249 0.515 0.797
11 O 0.250 0.273 0.193
12 O 0.264 0.804 0.011
13 O 0.403 0.158 0.712
14 O 0.597 0.842 0.288
15 O 0.736 0.196 0.989
16 O 0.750 0.727 0.807
17 O 0.751 0.485 0.203
18 O 0.773 0.436 0.608
19 O 0.781 0.077 0.401


Record 7
DFT (GGA-PBEsol) results for a relaxed Ho2CuGe2O8 crystal.

Computed properties:
space-group type	No. 8
total magnetization	0.076	μB/atom
ΔE_f (raw)	-2.340	eV/atom
uncorrected energy	-7.425	eV per atom

a = 8.803 Å, b = 8.803 Å, c = 5.062 Å
α = 106.42°, β = 106.42°, γ = 115.45°
Fractional positions:
1 Ho 0.119 0.881 0.000
2 Ho 0.382 0.621 0.493
3 Ho 0.621 0.382 0.493
4 Ho 0.881 0.119 0.000
5 Cu 0.497 0.910 0.187
6 Cu 0.910 0.497 0.187
7 Ge 0.046 0.469 0.733
8 Ge 0.246 0.246 0.785
9 Ge 0.469 0.046 0.733
10 Ge 0.744 0.744 0.201
11 O 0.069 0.069 0.820
12 O 0.081 0.416 0.056
13 O 0.153 0.339 0.559
14 O 0.207 0.679 0.739
15 O 0.321 0.837 0.361
16 O 0.339 0.153 0.559
17 O 0.416 0.081 0.056
18 O 0.419 0.419 0.170
19 O 0.575 0.575 0.807
20 O 0.584 0.925 0.891
21 O 0.644 0.833 0.412
22 O 0.679 0.207 0.739
23 O 0.833 0.644 0.412
24 O 0.837 0.321 0.361
25 O 0.920 0.920 0.161
26 O 0.925 0.584 0.891


Record 8
DFT (GGA-PBEsol) results for a relaxed Ho3CuGeS7 crystal.

Computed properties:
space-group type	No. 173
total magnetization	0.000	μB/atom
ΔE_f (raw)	-1.494	eV/atom
uncorrected energy	-6.062	eV per atom

a = 9.705 Å, b = 9.705 Å, c = 5.667 Å
α = 90.00°, β = 90.00°, γ = 120.00°
Fractional positions:
1 Ho 0.132 0.775 0.000
2 Ho 0.225 0.357 0.000
3 Ho 0.357 0.132 0.500
4 Ho 0.643 0.868 0.000
5 Ho 0.775 0.643 0.500
6 Ho 0.868 0.225 0.500
7 Cu 0.000 0.000 0.046
8 Cu 0.000 0.000 0.546
9 Ge 0.333 0.667 0.419
10 Ge 0.667 0.333 0.919
11 S 0.095 0.517 0.255
12 S 0.099 0.838 0.528
13 S 0.162 0.261 0.528
14 S 0.261 0.099 0.028
15 S 0.333 0.667 0.803
16 S 0.422 0.905 0.255
17 S 0.483 0.578 0.255
18 S 0.517 0.422 0.755
19 S 0.578 0.095 0.755
20 S 0.667 0.333 0.303
21 S 0.739 0.901 0.528
22 S 0.838 0.739 0.028
23 S 0.901 0.162 0.028
24 S 0.905 0.483 0.755


Record 9
DFT (GGA-PBEsol) results for a relaxed CuGeI2 crystal.

Computed properties:
space-group type	No. 225
total magnetization	0.000	μB/atom
ΔE_f (raw)	0.422	eV/atom
uncorrected energy	-2.780	eV per atom

a = 7.230 Å, b = 7.230 Å, c = 7.230 Å
α = 90.00°, β = 90.00°, γ = 90.00°
Fractional positions:
1 Cu 0.000 0.000 0.000
2 Cu 0.000 0.500 0.500
3 Cu 0.500 0.000 0.500
4 Cu 0.500 0.500 0.000
5 Ge 0.000 0.000 0.500
6 Ge 0.000 0.500 0.000
7 Ge 0.500 0.000 0.000
8 Ge 0.500 0.500 0.500
9 I 0.250 0.250 0.250
10 I 0.250 0.250 0.750
11 I 0.250 0.750 0.250
12 I 0.250 0.750 0.750
13 I 0.750 0.250 0.250
14 I 0.750 0.250 0.750
15 I 0.750 0.750 0.250
16 I 0.750 0.750 0.750


Record 10
DFT (GGA-PBEsol) results for a relaxed In2CuGe2 crystal.

Computed properties:
space-group type	No. 139
total magnetization	0.000	μB/atom
uncorrected energy	-3.757	eV per atom

a = 3.549 Å, b = 3.549 Å, c = 16.277 Å
α = 90.00°, β = 90.00°, γ = 90.00°
Fractional positions:
1 In 0.000 0.000 0.092
2 In 0.000 0.000 0.908
3 In 0.500 0.500 0.408
4 In 0.500 0.500 0.592
5 Cu 0.000 0.000 0.500
6 Cu 0.500 0.500 0.000
7 Ge 0.000 0.500 0.250
8 Ge 0.000 0.500 0.750
9 Ge 0.500 0.000 0.250
10 Ge 0.500 0.000 0.750


Record 11
DFT (GGA-PBEsol) results for a relaxed In3CuGe crystal.

Computed properties:
space-group type	No. 221
total magnetization	0.000	μB/atom
uncorrected energy	-3.299	eV per atom

a = 4.947 Å, b = 4.947 Å, c = 4.947 Å
α = 90.00°, β = 90.00°, γ = 90.00°
Fractional positions:
1 In 0.000 0.000 0.500
2 In 0.000 0.500 0.000
3 In 0.500 0.000 0.000
4 Cu 0.000 0.000 0.000
5 Ge 0.500 0.500 0.500


Record 12
DFT (GGA-PBEsol) results for a relaxed InCuGe3 crystal.

Computed properties:
space-group type	No. 221
total magnetization	0.000	μB/atom
uncorrected energy	-4.045	eV per atom

a = 4.701 Å, b = 4.701 Å, c = 4.701 Å
α = 90.00°, β = 90.00°, γ = 90.00°
Fractional positions:
1 In 0.000 0.000 0.000
2 Cu 0.500 0.500 0.500
3 Ge 0.000 0.500 0.500
4 Ge 0.500 0.000 0.500
5 Ge 0.500 0.500 0.000


Record 13
DFT (GGA-PBEsol) results for a relaxed InCuGeSe4 crystal.

Computed properties:
space-group type	No. 82
total magnetization	0.000	μB/atom
ΔE_f (raw)	-0.339	eV/atom
uncorrected energy	-4.290	eV per atom

a = 5.705 Å, b = 5.705 Å, c = 10.658 Å
α = 90.00°, β = 90.00°, γ = 90.00°
Fractional positions:
1 In 0.000 0.000 0.000
2 In 0.500 0.500 0.500
3 Cu 0.000 0.000 0.500
4 Cu 0.500 0.500 0.000
5 Ge 0.000 0.500 0.750
6 Ge 0.500 0.000 0.250
7 Se 0.226 0.240 0.362
8 Se 0.240 0.774 0.638
9 Se 0.260 0.726 0.138
10 Se 0.274 0.260 0.862
11 Se 0.726 0.740 0.862
12 Se 0.740 0.274 0.138
13 Se 0.760 0.226 0.638
14 Se 0.774 0.760 0.362


Record 14
DFT (GGA-PBEsol) results for a relaxed CuGe3Ir crystal.

Computed properties:
space-group type	No. 221
total magnetization	0.000	μB/atom
uncorrected energy	-4.915	eV per atom

a = 4.466 Å, b = 4.466 Å, c = 4.466 Å
α = 90.00°, β = 90.00°, γ = 90.00°
Fractional positions:
1 Cu 0.000 0.000 0.000
2 Ge 0.000 0.000 0.500
3 Ge 0.000 0.500 0.000
4 Ge 0.500 0.000 0.000
5 Ir 0.500 0.500 0.500


Record 15
DFT (GGA-PBEsol) results for a relaxed LaCu2Ge2 crystal.

Computed properties:
space-group type	No. 139
total magnetization	0.000	μB/atom
uncorrected energy	-5.374	eV per atom

a = 4.180 Å, b = 4.180 Å, c = 10.032 Å
α = 90.00°, β = 90.00°, γ = 90.00°
Fractional positions:
1 La 0.000 0.000 0.000
2 La 0.500 0.500 0.500
3 Cu 0.000 0.500 0.250
4 Cu 0.000 0.500 0.750
5 Cu 0.500 0.000 0.250
6 Cu 0.500 0.000 0.750
7 Ge 0.000 0.000 0.374
8 Ge 0.000 0.000 0.626
9 Ge 0.500 0.500 0.126
10 Ge 0.500 0.500 0.874


Record 16
DFT (GGA-PBEsol) results for a relaxed LaCuGe crystal.

Computed properties:
space-group type	No. 187
total magnetization	0.000	μB/atom
uncorrected energy	-5.524	eV per atom

a = 4.198 Å, b = 4.198 Å, c = 4.167 Å
α = 90.00°, β = 90.00°, γ = 120.00°
Fractional positions:
1 La 0.000 0.000 0.000
2 Cu 0.667 0.333 0.500
3 Ge 0.333 0.667 0.500


Record 17
DFT (GGA-PBEsol) results for a relaxed La2CuGe6 crystal.

Computed properties:
space-group type	No. 38
total magnetization	0.000	μB/atom
uncorrected energy	-5.476	eV per atom

a = 4.163 Å, b = 11.165 Å, c = 11.165 Å
α = 21.05°, β = 90.00°, γ = 90.00°
Fractional positions:
1 La 0.000 0.000 0.000
2 La 0.000 0.332 0.332
3 Cu 0.500 0.776 0.776
4 Ge 0.000 0.606 0.606
5 Ge 0.000 0.718 0.718
6 Ge 0.500 0.105 0.105
7 Ge 0.500 0.218 0.218
8 Ge 0.500 0.452 0.452
9 Ge 0.500 0.884 0.884


Record 18
DFT (GGA-PBEsol) results for a relaxed La5CuGe3 crystal.

Computed properties:
space-group type	No. 193
total magnetization	0.001	μB/atom
uncorrected energy	-5.691	eV per atom

a = 9.139 Å, b = 9.139 Å, c = 6.565 Å
α = 90.00°, β = 90.00°, γ = 120.00°
Fractional positions:
1 La 0.000 0.274 0.250
2 La 0.000 0.726 0.750
3 La 0.274 0.000 0.250
4 La 0.274 0.274 0.750
5 La 0.333 0.667 0.000
6 La 0.333 0.667 0.500
7 La 0.667 0.333 0.000
8 La 0.667 0.333 0.500
9 La 0.726 0.000 0.750
10 La 0.726 0.726 0.250
11 Cu 0.000 0.000 0.000
12 Cu 0.000 0.000 0.500
13 Ge 0.000 0.377 0.750
14 Ge 0.000 0.623 0.250
15 Ge 0.377 0.000 0.750
16 Ge 0.377 0.377 0.250
17 Ge 0.623 0.000 0.250
18 Ge 0.623 0.623 0.750


Record 19
DFT (GGA-PBEsol) results for a relaxed LaCuGe3 crystal.

Computed properties:
space-group type	No. 221
total magnetization	0.000	μB/atom
uncorrected energy	-5.026	eV per atom

a = 4.700 Å, b = 4.700 Å, c = 4.700 Å
α = 90.00°, β = 90.00°, γ = 90.00°
Fractional positions:
1 La 0.000 0.000 0.000
2 Cu 0.500 0.500 0.500
3 Ge 0.000 0.500 0.500
4 Ge 0.500 0.000 0.500
5 Ge 0.500 0.500 0.000


Record 20
DFT (GGA-PBEsol) results for a relaxed LaMnCuGe2 crystal.

Computed properties:
space-group type	No. 119
total magnetization	0.684	μB/atom
uncorrected energy	-6.351	eV per atom

a = 4.163 Å, b = 4.163 Å, c = 10.382 Å
α = 90.00°, β = 90.00°, γ = 90.00°
Fractional positions:
1 La 0.000 0.000 0.000
2 La 0.500 0.500 0.500
3 Mn 0.000 0.500 0.250
4 Mn 0.500 0.000 0.750
5 Cu 0.000 0.500 0.750
6 Cu 0.500 0.000 0.250
7 Ge 0.000 0.000 0.376
8 Ge 0.000 0.000 0.624
9 Ge 0.500 0.500 0.124
10 Ge 0.500 0.500 0.876


Record 21
DFT (GGA-PBEsol) results for a relaxed LiCu2Ge2 crystal.

Computed properties:
space-group type	No. 139
total magnetization	0.000	μB/atom
uncorrected energy	-4.168	eV per atom
excess energy over the best structure of this formula in the dataset	0	meV per atom

a = 3.795 Å, b = 3.795 Å, c = 10.735 Å
α = 90.00°, β = 90.00°, γ = 90.00°
Fractional positions:
1 Li 0.000 0.000 0.000
2 Li 0.500 0.500 0.500
3 Cu 0.000 0.500 0.250
4 Cu 0.000 0.500 0.750
5 Cu 0.500 0.000 0.250
6 Cu 0.500 0.000 0.750
7 Ge 0.000 0.000 0.388
8 Ge 0.000 0.000 0.612
9 Ge 0.500 0.500 0.112
10 Ge 0.500 0.500 0.888


Record 22
DFT (GGA-PBEsol) results for a relaxed Li2CuGe2 crystal.

Computed properties:
space-group type	No. 127
total magnetization	0.000	μB/atom
uncorrected energy	-3.860	eV per atom

a = 6.144 Å, b = 6.144 Å, c = 4.145 Å
α = 90.00°, β = 90.00°, γ = 90.00°
Fractional positions:
1 Li 0.163 0.337 0.000
2 Li 0.337 0.837 0.000
3 Li 0.663 0.163 0.000
4 Li 0.837 0.663 0.000
5 Cu 0.000 0.000 0.500
6 Cu 0.500 0.500 0.500
7 Ge 0.141 0.641 0.500
8 Ge 0.359 0.141 0.500
9 Ge 0.641 0.859 0.500
10 Ge 0.859 0.359 0.500


Record 23
DFT (GGA-PBEsol) results for a relaxed LiCu2Ge2 crystal.

Computed properties:
space-group type	No. 139
total magnetization	0.000	μB/atom
uncorrected energy	-4.020	eV per atom
excess energy over the best structure of this formula in the dataset	148	meV per atom

a = 4.087 Å, b = 4.087 Å, c = 9.933 Å
α = 90.00°, β = 90.00°, γ = 90.00°
Fractional positions:
1 Li 0.000 0.000 0.000
2 Li 0.500 0.500 0.500
3 Cu 0.000 0.000 0.382
4 Cu 0.000 0.000 0.618
5 Cu 0.500 0.500 0.118
6 Cu 0.500 0.500 0.882
7 Ge 0.000 0.500 0.250
8 Ge 0.000 0.500 0.750
9 Ge 0.500 0.000 0.250
10 Ge 0.500 0.000 0.750